Entry 1:
NiAsAu: relaxed, PBE.

## Properties
Offset from the most stable computed form in meV/atom: 44
ΔE_f in meV per atom: -40

a b c (Å): 3.0848 3.0848 6.0994
angles (deg): 90.00 90.00 120.00
Fractional positions:
Ni: 0.3333 0.6667 0.4041
As: 0.0000 0.0000 0.1624
Au: 0.0000 0.0000 0.7384



Entry 2:
NiAsAu2: relaxed, PBE.

## Properties
ΔE_f in meV per atom: 220

a b c (Å): 4.7179 4.7179 3.1573
angles (deg): 90.00 90.00 108.62
Fractional positions:
As: 0.0000 0.5000 0.5000
Au: 0.0000 0.0000 0.0000
Au: 0.5000 0.5000 0.0000
Ni: 0.5000 0.0000 0.5000



Entry 3:
NiAs2Au: relaxed, PBE.

## Properties
Offset from the most stable computed form in meV/atom: 178
ΔE_f in meV per atom: 207

a b c (Å): 4.4063 4.4063 3.4699
angles (deg): 90.02 90.02 99.31
Fractional positions:
As: 0.0000 0.0000 0.0000
As: 0.5000 0.5000 0.0000
Au: 0.5000 0.0000 0.5000
Ni: 0.0000 0.5000 0.5000



Entry 4:
NiAsAu2: relaxed, PBE.

## Properties
ΔE_f in meV per atom: 207

a b c (Å): 4.3788 5.5368 3.2294
angles (deg): 73.58 88.69 112.88
Fractional positions:
As: 0.5000 0.5000 0.0000
Au: 0.0000 0.0000 0.0000
Au: 0.5000 0.0000 0.5000
Ni: 0.0000 0.5000 0.5000



Entry 5:
NiAs2Au: relaxed, PBE.

## Properties
Offset from the most stable computed form in meV/atom: 52
ΔE_f in meV per atom: 81

a b c (Å): 2.8958 2.8942 7.9562
angles (deg): 90.00 90.00 90.00
Fractional positions:
As: 0.0000 0.0000 0.9499
As: 0.0000 0.0000 0.5501
Au: 0.5000 0.5000 0.2500
Ni: 0.5000 0.5000 0.7500



Entry 6:
NiAsAu2: relaxed, PBE.

## Properties
ΔE_f in meV per atom: 184

a b c (Å): 4.8613 4.8613 4.8613
angles (deg): 130.04 130.04 73.34
Fractional positions:
As: 0.7500 0.2500 0.5000
Au: 0.0000 0.0000 0.0000
Au: 0.2500 0.7500 0.5000
Ni: 0.5000 0.5000 0.0000